[1]
Density functional theory data (PBE) for crystalline Ba5Er at its relaxed geometry.

theoretical density = 4.320 g/cm³
size of the total moment = 0.00 μB per atom
DOS(E_F) = 7.0 states/eV per cell
formation energy from the elements = 0.15 eV per atom
SG = Cmmm

Structure (POSCAR):
```
Ba5Er
1.0
3.427 -10.290 0.000
3.427 10.290 0.000
0.000 0.000 4.654
Ba Er
5 1
direct
0.000 0.000 0.000
0.172 0.828 0.500
0.351 0.649 0.000
0.649 0.351 0.000
0.828 0.172 0.500
0.500 0.500 0.500
```

[2]
Density functional theory data (PBE) for crystalline Ba3Er at its relaxed geometry.

theoretical density = 4.754 g/cm³
size of the total moment = 0.00 μB per atom
DOS(E_F) = 7.1 states/eV per cell
formation energy from the elements = 0.25 eV per atom
SG = I4/mmm

Structure (POSCAR):
```
Ba3Er
1.0
-2.945 2.945 5.833
2.945 -2.945 5.833
2.945 2.945 -5.833
Ba Er
3 1
direct
0.000 0.000 0.000
0.250 0.750 0.500
0.750 0.250 0.500
0.500 0.500 0.000
```

[3]
Density functional theory data (PBE) for crystalline Ba4Er at its relaxed geometry.

theoretical density = 3.860 g/cm³
size of the total moment = 0.01 μB per atom
DOS(E_F) = 12.3 states/eV per cell
formation energy from the elements = 0.46 eV per atom
SG = Pm-3m

Structure (POSCAR):
```
Ba4Er
1.0
6.755 0.000 0.000
0.000 6.755 0.000
0.000 0.000 6.755
Ba Er
4 1
direct
0.000 0.000 0.000
0.000 0.500 0.500
0.500 0.000 0.500
0.500 0.500 0.000
0.500 0.500 0.500
```

[4]
Density functional theory data (PBE) for crystalline BaEr2 at its relaxed geometry.

theoretical density = 6.269 g/cm³
size of the total moment = 0.53 μB per atom
DOS(E_F) = 11.8 states/eV per cell
formation energy from the elements = 0.35 eV per atom
SG = Fd-3m

Structure (POSCAR):
```
BaEr2
1.0
0.000 5.000 5.000
5.000 0.000 5.000
5.000 5.000 0.000
Ba Er
2 4
direct
0.125 0.125 0.125
0.875 0.875 0.875
0.000 0.500 0.500
0.500 0.000 0.500
0.500 0.500 0.000
0.500 0.500 0.500
```

[5]
Density functional theory data (PBE) for crystalline BaEr2F7 at its relaxed geometry.

energy relative to the elements, uncorrected = -3840 meV/atom
theoretical density = 5.954 g/cm³
size of the total moment = 0.05 μB per atom
DOS(E_F) = 1.4 states/eV per cell
SG = Cmmm

Structure (POSCAR):
```
BaEr2F7
1.0
3.494 -5.643 0.000
3.494 5.643 0.000
0.000 0.000 4.277
Ba Er F
1 2 7
direct
0.000 0.000 0.000
0.311 0.689 0.500
0.689 0.311 0.500
0.044 0.329 0.500
0.258 0.742 0.000
0.329 0.044 0.500
0.500 0.500 0.500
0.671 0.956 0.500
0.742 0.258 0.000
0.956 0.671 0.500
```

[6]
Density functional theory data (PBE) for crystalline Ba2ErF6 at its relaxed geometry.

energy relative to the elements, uncorrected = -3712 meV/atom
theoretical density = 5.757 g/cm³
size of the total moment = 0.11 μB per atom
DOS(E_F) = 0.6 states/eV per cell
SG = Immm

Structure (POSCAR):
```
Ba2ErF6
1.0
-1.997 3.255 6.167
1.997 -3.255 6.167
1.997 3.255 -6.167
Ba Er F
2 1 6
direct
0.153 0.153 0.000
0.847 0.847 0.000
0.500 0.500 0.000
0.144 0.347 0.797
0.313 0.000 0.313
0.450 0.653 0.797
0.550 0.347 0.203
0.687 0.000 0.687
0.856 0.653 0.203
```

[7]
Density functional theory data (PBE) for crystalline Ba4Er3F17 at its relaxed geometry.

energy relative to the elements, uncorrected = -4044 meV/atom
theoretical density = 6.201 g/cm³
size of the total moment = 0.00 μB per atom
DOS(E_F) = 0.0 states/eV per cell
SG = P1

Structure (POSCAR):
```
Ba4Er3F17
1.0
9.328 0.000 0.000
2.737 8.975 0.000
2.774 2.087 8.790
Ba Er F
8 6 34
direct
0.000 0.000 0.000
0.045 0.623 0.786
0.421 0.844 0.684
0.467 0.468 0.462
0.620 0.783 0.046
0.675 0.420 0.851
0.789 0.053 0.614
0.847 0.678 0.417
0.122 0.270 0.566
0.201 0.899 0.340
0.252 0.552 0.127
0.338 0.207 0.897
0.570 0.129 0.263
0.921 0.347 0.198
0.004 0.573 0.133
0.077 0.283 0.980
0.099 0.777 0.222
0.139 0.046 0.515
0.178 0.317 0.201
0.179 0.482 0.389
0.186 0.747 0.917
0.223 0.098 0.769
0.243 0.372 0.687
0.274 0.005 0.083
0.279 0.728 0.546
0.317 0.443 0.922
0.371 0.699 0.248
0.380 0.195 0.464
0.423 0.957 0.316
0.460 0.640 0.964
0.465 0.384 0.190
0.510 0.003 0.824
0.515 0.160 0.036
0.546 0.281 0.720
0.594 0.595 0.595
0.644 0.956 0.466
0.696 0.245 0.365
0.721 0.546 0.280
0.725 0.734 0.739
0.739 0.921 0.185
0.773 0.220 0.095
0.820 0.509 0.001
0.869 0.877 0.866
0.920 0.188 0.743
0.931 0.331 0.438
0.950 0.470 0.649
0.997 0.822 0.511
0.998 0.087 0.276
```

[8]
Density functional theory data (PBE) for crystalline K2BaErF8 at its relaxed geometry.

energy relative to the elements, uncorrected = -3281 meV/atom
theoretical density = 4.088 g/cm³
size of the total moment = 0.09 μB per atom
DOS(E_F) = 13.1 states/eV per cell
SG = I-4m2

Structure (POSCAR):
```
K2BaErF8
1.0
-3.038 3.038 5.885
3.038 -3.038 5.885
3.038 3.038 -5.885
K Ba Er F
2 1 1 8
direct
0.000 0.000 0.000
0.750 0.250 0.500
0.500 0.500 0.000
0.250 0.750 0.500
0.148 0.082 0.505
0.148 0.642 0.065
0.358 0.423 0.505
0.358 0.852 0.935
0.577 0.082 0.935
0.577 0.642 0.495
0.918 0.423 0.065
0.918 0.852 0.495
```

Going through the records in order, we get energy values of -13.25; -9.34; -9.95; -19.98; -62.54; -53.04; -300.49; -63.02 eV for the cell shown.